[1]
# Si2HgTe

A geometry-optimized Si2HgTe structure (GGA-PBE, OQMD via LeMat-Bulk).

Unit cell a=4.986 b=4.986 c=4.986 alpha=60.00 beta=60.00 gamma=60.00
Fractional coordinates of all 4 atoms:
Hg 0.500 0.500 0.500
Si 0.000 0.000 0.000
Si 0.250 0.250 0.250
Te 0.750 0.750 0.750

Properties
For the calculated volume, the calculation gives 21.91 Å³ per atom. The space group is No. 216. The calculation puts the total energy at -11.58 eV/f.u.

[2]
# ThSiHg

A geometry-optimized ThSiHg structure (GGA-PBE, OQMD via LeMat-Bulk).

Unit cell a=5.007 b=5.007 c=5.007 alpha=60.00 beta=60.00 gamma=60.00
Fractional coordinates of all 3 atoms:
Hg 0.250 0.250 0.250
Si 0.750 0.750 0.750
Th 0.000 0.000 0.000

Properties
For the calculated volume, the calculation gives 29.58 Å³ per atom. The space group is No. 216. Its energy above the most stable polymorph in this dataset is 3.26 kcal/mol of atoms.

[3]
# ThSiHg

A geometry-optimized ThSiHg structure (GGA-PBE, OQMD via LeMat-Bulk).

Unit cell a=4.857 b=4.857 c=4.857 alpha=60.00 beta=60.00 gamma=60.00
Fractional coordinates of all 3 atoms:
Hg 0.000 0.000 0.000
Si 0.250 0.250 0.250
Th 0.750 0.750 0.750

Properties
For the calculated volume, the calculation gives 27.01 Å³ per atom. The space group is No. 216. Its energy above the most stable polymorph in this dataset is 4.62 kcal/mol of atoms.

[4]
# ThSiHg

A geometry-optimized ThSiHg structure (GGA-PBE, OQMD via LeMat-Bulk).

Unit cell a=4.802 b=4.802 c=4.802 alpha=60.00 beta=60.00 gamma=60.00
Fractional coordinates of all 3 atoms:
Hg 0.250 0.250 0.250
Si 0.000 0.000 0.000
Th 0.750 0.750 0.750

Properties
For the calculated volume, the calculation gives 26.10 Å³ per atom. The space group is No. 216. Its energy above the most stable polymorph in this dataset is 0.00 kcal/mol of atoms.

[5]
# TmSiHg

A geometry-optimized TmSiHg structure (GGA-PBE, OQMD via LeMat-Bulk).

Unit cell a=4.636 b=4.636 c=4.636 alpha=60.00 beta=60.00 gamma=60.00
Fractional coordinates of all 3 atoms:
Hg 0.250 0.250 0.250
Si 0.000 0.000 0.000
Tm 0.750 0.750 0.750

Properties
For the calculated volume, the calculation gives 23.49 Å³ per atom. The space group is No. 216. Its energy above the most stable polymorph in this dataset is 0.00 kcal/mol of atoms.

[6]
# TmSiHg

A geometry-optimized TmSiHg structure (GGA-PBE, OQMD via LeMat-Bulk).

Unit cell a=4.784 b=4.784 c=4.784 alpha=60.00 beta=60.00 gamma=60.00
Fractional coordinates of all 3 atoms:
Hg 0.500 0.500 0.500
Si 0.000 0.000 0.000
Tm 0.250 0.250 0.250

Properties
For the calculated volume, the calculation gives 25.81 Å³ per atom. The space group is No. 216. Its energy above the most stable polymorph in this dataset is 3.69 kcal/mol of atoms.

- What is the formula in the fourth record?
  ThSiHg